AcPr2Si | GGA-PBE | relaxed

Structure (extended XYZ):
```
4
Lattice="2.094 1.209 9.529 -2.094 1.209 9.529 0.000 -2.418 9.529" Properties=species:S:1:pos:R:3 pbc="T T T"
Ac 0.000 0.000 0.000
Pr 0.000 0.000 15.904
Pr 0.000 0.000 22.098
Si 0.000 0.000 4.690
```

## Properties
* SG: No. 160
* ΔE_f (raw): -210 meV per atom
* density: 6.160 g/cm³
* crystal system: trigonal
* energy: -19.93 eV/cell